Entry 1:
Crystalline Rb2Hf2O5 at its relaxed geometry, computed with PBE.

Unit cell a=4.0655 b=4.0655 c=9.1396 alpha=90.00 beta=90.00 gamma=90.00
Last column: nearest neighbours and their distance in Å.
Fractional coordinates of all 9 atoms:
O1 0.5000 0.0000 0.7633  2 Hf 2.07
O2 0.0000 0.5000 0.2367  2 Hf 2.07
Hf1 0.5000 0.5000 0.2809  5 O 2.00-2.07
O3 0.5000 0.5000 0.5000  2 Hf 2.00
Rb1 0.0000 0.0000 0.0000  8 O 2.97
O4 0.5000 0.0000 0.2367  2 Hf 2.07
O5 0.0000 0.5000 0.7633  2 Hf 2.07
Rb2 0.0000 0.0000 0.5000  12 O 2.87-3.15
Hf2 0.5000 0.5000 0.7191  5 O 2.00-2.07

Symmetry: P4/mmm
Formation energy (no corrections) in meV/atom: -2753.3
Density of states at the Fermi level in states/eV/f.u.: 0.0
Energy in eV per atom: -7.9347

=====

Entry 2:
Crystalline Rb2HfRe3O12 at its relaxed geometry, computed with PBE.

Unit cell a=7.4254 b=7.4254 c=7.4254 alpha=59.35 beta=59.35 gamma=59.35
Last column: nearest neighbours and their distance in Å.
Fractional coordinates of all 18 atoms:
O1 0.3296 0.9350 0.9350  1 Re 1.88, 1 Hf 2.07
O2 0.0650 0.0650 0.6704  1 Re 1.88, 1 Hf 2.07
O3 0.9312 0.3089 0.3089  2 Re 1.94
O4 0.0688 0.6911 0.6911  2 Re 1.94
O5 0.3089 0.9312 0.3089  2 Re 1.94
Rb1 0.3844 0.3844 0.3844  9 O 3.20-3.58
Re1 0.0000 0.0000 0.5000  6 O 1.88-1.94
O6 0.6704 0.0650 0.0650  1 Re 1.88, 1 Hf 2.07
O7 0.0650 0.6704 0.0650  1 Re 1.88, 1 Hf 2.07
O8 0.9350 0.3296 0.9350  1 Re 1.88, 1 Hf 2.07
O9 0.6911 0.0688 0.6911  2 Re 1.94
Re2 0.5000 0.0000 0.0000  6 O 1.88-1.94
Rb2 0.6156 0.6156 0.6156  9 O 3.20-3.58
O10 0.6911 0.6911 0.0688  2 Re 1.94
Hf1 0.0000 0.0000 0.0000  6 O 2.07
Re3 0.0000 0.5000 0.0000  6 O 1.88-1.94
O11 0.3089 0.3089 0.9312  2 Re 1.94
O12 0.9350 0.9350 0.3296  1 Re 1.88, 1 Hf 2.07

Symmetry: R-3m
Formation energy (no corrections) in meV/atom: -1962.6
Density of states at the Fermi level in states/eV/f.u.: 10.7
Energy in eV per atom: -8.0033

=====

Entry 3:
Crystalline RbHfReO6 at its relaxed geometry, computed with PBE.

Unit cell a=5.4084 b=5.4084 c=6.2785 alpha=90.00 beta=90.00 gamma=60.00
Last column: nearest neighbours and their distance in Å.
Fractional coordinates of all 9 atoms:
Rb1 0.0000 0.0000 0.0000  6 O 2.96
O1 0.0243 0.3867 0.3230  1 Re 1.90, 1 Hf 2.08
O2 0.5890 0.0243 0.3230  1 Re 1.90, 1 Hf 2.08
O3 0.3867 0.0243 0.6770  1 Re 1.91, 1 Hf 2.08
O4 0.0243 0.5890 0.6769  1 Re 1.91, 1 Hf 2.08
O5 0.3867 0.5890 0.3230  1 Re 1.90, 1 Hf 2.08
Re1 0.3333 0.3333 0.5000  6 O 1.90-1.91
Hf1 0.6666 0.6667 0.5000  6 O 2.08
O6 0.5890 0.3867 0.6770  1 Re 1.91, 1 Hf 2.08

Symmetry: P312
Formation energy (no corrections) in meV/atom: -2258.4
Density of states at the Fermi level in states/eV/f.u.: 0.0
Energy in eV per atom: -8.1604

=====

Entry 4:
Crystalline RbHfRuO6 at its relaxed geometry, computed with PBE.

Unit cell a=5.4065 b=5.4065 c=6.2903 alpha=90.00 beta=90.00 gamma=60.00
Last column: nearest neighbours and their distance in Å.
Fractional coordinates of all 9 atoms:
O1 0.3875 0.0227 0.6775  1 Ru 1.91, 1 Hf 2.08
Ru1 0.3333 0.3333 0.5000  6 O 1.91
O2 0.0227 0.5898 0.6776  1 Ru 1.91, 1 Hf 2.08
O3 0.3875 0.5898 0.3224  1 Ru 1.91, 1 Hf 2.08
O4 0.0227 0.3875 0.3224  1 Ru 1.91, 1 Hf 2.08
O5 0.5898 0.0227 0.3224  1 Ru 1.91, 1 Hf 2.08
O6 0.5897 0.3875 0.6776  1 Ru 1.91, 1 Hf 2.08
Rb1 0.0000 0.0000 0.0000  6 O 2.96
Hf1 0.6666 0.6667 0.5000  6 O 2.08

Symmetry: P312
Formation energy (no corrections) in meV/atom: -1729.9
Density of states at the Fermi level in states/eV/f.u.: 4.2
Energy in eV per atom: -7.2794

=====

Entry 5:
Crystalline Rb2HfSb2O6 at its relaxed geometry, computed with PBE.

Unit cell a=5.9856 b=5.9901 c=7.6352 alpha=95.71 beta=90.00 gamma=119.98
Last column: nearest neighbours and their distance in Å.
Fractional coordinates of all 11 atoms:
Rb1 0.1824 0.3649 0.6831  9 O 3.00-3.09
O1 0.1776 0.8595 0.6552  1 Sb 1.97, 1 Hf 2.10
O2 0.3180 0.1405 0.3448  1 Sb 1.97, 1 Hf 2.10
O3 0.8224 0.1405 0.3448  1 Sb 1.97, 1 Hf 2.10
O4 0.3187 0.6375 0.3471  1 Sb 1.97, 1 Hf 2.10
Sb1 0.8570 0.7141 0.7815  3 O 1.97
O5 0.6820 0.8595 0.6552  1 Sb 1.97, 1 Hf 2.10
Hf1 0.5000 0.0000 0.5000  6 O 2.10
O6 0.6813 0.3625 0.6529  1 Sb 1.97, 1 Hf 2.10
Sb2 0.1430 0.2859 0.2185  3 O 1.97
Rb2 0.8176 0.6351 0.3169  9 O 3.00-3.09

Symmetry: C2/m
Formation energy (no corrections) in meV/atom: -2024.1
Density of states at the Fermi level in states/eV/f.u.: 0.0
Energy in eV per atom: -6.5588

=====

Entry 6:
Crystalline Rb2HfSb3O12 at its relaxed geometry, computed with PBE.

Unit cell a=7.5238 b=7.5238 c=7.5238 alpha=59.15 beta=59.15 gamma=59.15
Last column: nearest neighbours and their distance in Å.
Fractional coordinates of all 18 atoms:
Rb1 0.3761 0.3761 0.3761  6 O 3.18-3.24
O1 0.9303 0.9303 0.3284  1 Sb 1.97, 1 Hf 2.07
Sb1 0.0000 0.5000 0.0000  6 O 1.97-2.01
Rb2 0.6239 0.6239 0.6239  6 O 3.18-3.24
Sb2 0.0000 0.0000 0.5000  6 O 1.97-2.01
O2 0.3230 0.3230 0.9228  2 Sb 2.01
O3 0.9303 0.3284 0.9303  1 Sb 1.97, 1 Hf 2.07
O4 0.0772 0.6770 0.6770  2 Sb 2.01
O5 0.6770 0.6770 0.0772  2 Sb 2.01
O6 0.6716 0.0697 0.0697  1 Sb 1.97, 1 Hf 2.07
O7 0.0697 0.0697 0.6716  1 Sb 1.97, 1 Hf 2.07
O8 0.0697 0.6716 0.0697  1 Sb 1.97, 1 Hf 2.07
Sb3 0.5000 0.0000 0.0000  6 O 1.97-2.01
O9 0.3230 0.9228 0.3230  2 Sb 2.01
Hf1 0.0000 0.0000 0.0000  6 O 2.07
O10 0.9228 0.3230 0.3230  2 Sb 2.01
O11 0.6770 0.0772 0.6770  2 Sb 2.01
O12 0.3284 0.9303 0.9303  1 Sb 1.97, 1 Hf 2.07

Symmetry: R-3m
Formation energy (no corrections) in meV/atom: -1602.0
Density of states at the Fermi level in states/eV/f.u.: 9.3
Energy in eV per atom: -6.2550

=====

Entry 7:
Crystalline RbHfSb2O8 at its relaxed geometry, computed with PBE.

Unit cell a=5.7582 b=5.7582 c=7.9652 alpha=90.00 beta=90.00 gamma=120.00
Last column: nearest neighbours and their distance in Å.
Fractional coordinates of all 12 atoms:
O1 0.0732 0.3173 0.6560  1 Sb 1.89, 1 Hf 2.07
O2 0.3173 0.2441 0.3440  1 Sb 1.89, 1 Hf 2.07
O3 0.6827 0.7559 0.6560  1 Sb 1.89, 1 Hf 2.07
Sb1 0.6667 0.3333 0.2745  4 O 1.89-1.92
O4 0.2441 0.9268 0.6560  1 Sb 1.89, 1 Hf 2.07
O5 0.6667 0.3333 0.0337  1 Sb 1.92
Hf1 0.0000 0.0000 0.5000  6 O 2.07
Sb2 0.3333 0.6667 0.7255  4 O 1.89-1.92
O6 0.7559 0.0732 0.3440  1 Sb 1.89, 1 Hf 2.07
O7 0.9268 0.6827 0.3440  1 Sb 1.89, 1 Hf 2.07
Rb1 0.0000 0.0000 0.0000  12 O 3.20-3.34
O8 0.3333 0.6667 0.9663  1 Sb 1.92

Symmetry: P-3
Formation energy (no corrections) in meV/atom: -1683.7
Density of states at the Fermi level in states/eV/f.u.: 6.2
Energy in eV per atom: -6.5864

=====

Entry 8:
Crystalline RbHfSe2O8 at its relaxed geometry, computed with PBE.

Unit cell a=5.3571 b=5.3571 c=8.5066 alpha=87.15 beta=87.15 gamma=65.76
Last column: nearest neighbours and their distance in Å.
Fractional coordinates of all 12 atoms:
O1 0.7730 0.7730 0.0531  1 Se 1.73
O2 0.2171 0.7301 0.8232  1 Se 1.77
O3 0.2270 0.2270 0.9469  1 Se 1.73
O4 0.2699 0.7829 0.1768  1 Se 1.77
Hf1 0.0000 0.0000 0.0000  6 O 2.07-2.09
Rb1 0.0000 0.0000 0.5000  6 O 3.04-3.09
O5 0.7829 0.2699 0.1768  1 Se 1.77
O6 0.6889 0.6889 0.3786  1 Se 1.65
Se1 0.6298 0.6298 0.1986  4 O 1.65-1.77
O7 0.3111 0.3111 0.6214  1 Se 1.65
Se2 0.3702 0.3702 0.8014  4 O 1.65-1.77
O8 0.7301 0.2171 0.8232  1 Se 1.77

Symmetry: C2/m
Formation energy (no corrections) in meV/atom: -1460.8
Density of states at the Fermi level in states/eV/f.u.: 2.4
Energy in eV per atom: -6.2571